(1)
# Zn2GeAu6 PBE relaxed
# Energy relative to the elements = -0.063 eV/atom
# Calculated density = 14453 kg/m3
# Crystal system = monoclinic
# DOS(E_F) = 5.24 states/eV per cell
# M_tot = 0.000 μB/cell
data_Zn2GeAu6
_chemical_formula_sum 'Zn4 Ge2 Au12'
_space_group_name_H-M_alt 'C 1 2/m 1'
_space_group_IT_number 12
_space_group_name_Hall '-C 2y'
_cell_length_a 9.337
_cell_length_b 4.144
_cell_length_c 8.332
_cell_angle_alpha 90.00
_cell_angle_beta 99.11
_cell_angle_gamma 90.00
loop_
_atom_site_label
_atom_site_type_symbol
_atom_site_fract_x
_atom_site_fract_y
_atom_site_fract_z
Zn1 Zn 0.210 0.000 0.246
Ge1 Ge 0.000 0.500 0.000
Au1 Au 0.028 0.500 0.324
Au2 Au 0.158 0.000 0.562
Au3 Au 0.160 0.000 0.910

=====

(2)
# Sr5HgRh2 PBE relaxed
# Energy relative to the elements = -0.320 eV/atom
# Calculated density = 5381 kg/m3
# Crystal system = tetragonal
# DOS(E_F) = 26.81 states/eV per cell
# M_tot = 0.000 μB/cell
data_Sr5HgRh2
_chemical_formula_sum 'Sr20 Hg4 Rh8'
_space_group_name_H-M_alt 'I 4/m c m'
_space_group_IT_number 140
_space_group_name_Hall '-I 4 2c'
_cell_length_a 8.175
_cell_length_b 8.175
_cell_length_c 15.596
_cell_angle_alpha 90.00
_cell_angle_beta 90.00
_cell_angle_gamma 90.00
loop_
_atom_site_label
_atom_site_type_symbol
_atom_site_fract_x
_atom_site_fract_y
_atom_site_fract_z
Sr1 Sr 0.000 0.000 0.000
Sr2 Sr 0.170 0.330 0.131
Hg1 Hg 0.000 0.000 0.250
Rh1 Rh 0.119 0.381 0.500

=====

(3)
# CePuRh2 PBE relaxed
# Energy relative to the elements = -0.563 eV/atom
# Calculated density = 11915 kg/m3
# Crystal system = tetragonal
# DOS(E_F) = 10.60 states/eV per cell
# M_tot = 5.454 μB/cell
data_CePuRh2
_chemical_formula_sum 'Ce1 Pu1 Rh2'
_space_group_name_H-M_alt 'P 4/m m m'
_space_group_IT_number 123
_space_group_name_Hall '-P 4 2'
_cell_length_a 4.847
_cell_length_b 4.847
_cell_length_c 3.499
_cell_angle_alpha 90.00
_cell_angle_beta 90.00
_cell_angle_gamma 90.00
loop_
_atom_site_label
_atom_site_type_symbol
_atom_site_fract_x
_atom_site_fract_y
_atom_site_fract_z
Ce1 Ce 0.000 0.000 0.000
Pu1 Pu 0.500 0.500 0.000
Rh1 Rh 0.000 0.500 0.500

=====

(4)
# CrIrBr2 PBE relaxed
# Calculated density = 8161 kg/m3
# Relative energy among the computed polymorphs = 80.5 kJ/mol of atoms
# Crystal system = orthorhombic
# DOS(E_F) = 7.59 states/eV per cell
# M_tot = 5.726 μB/cell
# Formation energy without anion corrections = 82 kJ/mol of atoms
data_CrIrBr2
_chemical_formula_sum 'Cr2 Ir2 Br4'
_space_group_name_H-M_alt 'C m m m'
_space_group_IT_number 65
_space_group_name_Hall '-C 2 2'
_cell_length_a 3.226
_cell_length_b 5.988
_cell_length_c 8.511
_cell_angle_alpha 90.00
_cell_angle_beta 90.00
_cell_angle_gamma 90.00
loop_
_atom_site_label
_atom_site_type_symbol
_atom_site_fract_x
_atom_site_fract_y
_atom_site_fract_z
Cr1 Cr 0.000 0.000 0.000
Ir1 Ir 0.000 0.000 0.500
Br1 Br 0.000 0.500 0.236

=====

(5)
# Cs2BiTe2O6 PBE relaxed
# Calculated density = 5603 kg/m3
# Crystal system = monoclinic
# DOS(E_F) = 6.06 states/eV per cell
# M_tot = 0.000 μB/cell
# Formation energy without anion corrections = -110 kJ/mol of atoms
data_Cs2BiTe2O6
_chemical_formula_sum 'Cs4 Bi2 Te4 O12'
_space_group_name_H-M_alt 'C 1 2/m 1'
_space_group_IT_number 12
_space_group_name_Hall '-C 2y'
_cell_length_a 10.141
_cell_length_b 6.616
_cell_length_c 7.927
_cell_angle_alpha 90.00
_cell_angle_beta 113.02
_cell_angle_gamma 90.00
loop_
_atom_site_label
_atom_site_type_symbol
_atom_site_fract_x
_atom_site_fract_y
_atom_site_fract_z
Cs1 Cs 0.201 0.000 0.110
Bi1 Bi 0.000 0.000 0.500
Te1 Te 0.110 0.500 0.279
O1 O 0.010 0.274 0.724
O2 O 0.247 0.000 0.483

=====

(6)
# NaTm2Ga PBE relaxed
# Energy relative to the elements = -0.027 eV/atom
# Calculated density = 6008 kg/m3
# Relative energy among the computed polymorphs = 11.0 kJ/mol of atoms
# Crystal system = trigonal
# DOS(E_F) = 12.13 states/eV per cell
# M_tot = 0.000 μB/cell
data_NaTm2Ga
_chemical_formula_sum 'Na3 Tm6 Ga3'
_space_group_name_H-M_alt 'R -3 m'
_space_group_IT_number 166
_space_group_name_Hall '-R 3 2"'
_cell_length_a 3.5008
_cell_length_b 3.5008
_cell_length_c 33.6366
_cell_angle_alpha 90.00
_cell_angle_beta 90.00
_cell_angle_gamma 120.00
loop_
_atom_site_label
_atom_site_type_symbol
_atom_site_fract_x
_atom_site_fract_y
_atom_site_fract_z
Na1 Na 0.0000 0.0000 0.0000
Tm1 Tm 0.0000 0.0000 0.1035
Ga1 Ga 0.0000 0.0000 0.5000

=====

- M_tot of number 1 (Zn2GeAu6)?
  0.000 μB/cell

=====

- Which formula does entry 6 have?
  NaTm2Ga

=====

- Number 2 is which compound?
  Sr5HgRh2

=====

- Number 6 is which compound?
  NaTm2Ga